[1]
PBE-GGA Ac2AlNi12B3, relaxed; density = 7.88 g/cm³; total moment = 0.000 μB/atom; space-group type = R-3m, No. 166; E_form = -89 meV/atom; N(E_F) = 11.79 states/eV/cell
1.0
6.8111 -0.3683 -0.2612
3.0435 6.1045 -0.2612
3.0435 1.7715 5.8476
Ni B Ac Al
12 3 2 1
direct
0.1170 0.1170 0.6214
0.2875 0.2875 0.9058
0.8830 0.8830 0.3786
0.0942 0.7125 0.7125
0.3786 0.8830 0.8830
0.1170 0.6214 0.1170
0.6214 0.1170 0.1170
0.8830 0.3786 0.8830
0.7125 0.7125 0.0942
0.7125 0.0942 0.7125
0.2875 0.9058 0.2875
0.9058 0.2875 0.2875
0.0000 0.0000 0.5000
0.0000 0.5000 0.0000
0.5000 0.0000 0.0000
0.6105 0.6105 0.6105
0.3895 0.3895 0.3895
0.0000 0.0000 0.0000

---

[2]
PBE-GGA AcAl3B4O12, relaxed; density = 4.61 g/cm³; total moment = 0.000 μB/atom; DFT total energy = -7.88 eV per atom; space-group type = R32, No. 155; N(E_F) = 0.00 states/eV/cell
1.0
-2.0970 -4.2131 3.7577
5.9096 -1.1266 -0.2752
-0.3496 5.0893 3.2009
O B Al Ac
12 4 3 1
direct
0.2329 0.3883 0.9746
0.9117 0.5000 0.0883
0.7671 0.0254 0.6117
0.6485 0.5000 0.3515
0.5000 0.3515 0.6485
0.5000 0.0883 0.9117
0.6117 0.7671 0.0254
0.9746 0.2329 0.3883
0.3883 0.9746 0.2329
0.3515 0.6485 0.5000
0.0254 0.6117 0.7671
0.0883 0.9117 0.5000
0.0609 0.5000 0.9391
0.9391 0.0609 0.5000
0.5000 0.9391 0.0609
0.5000 0.5000 0.5000
0.4438 0.0000 0.5562
0.0000 0.5562 0.4438
0.5562 0.4438 0.0000
0.0000 0.0000 0.0000

---

[3]
PBE-GGA AcAlBO5, relaxed; density = 6.32 g/cm³; total moment = 0.127 μB/atom; DFT total energy = -7.56 eV per atom; space-group type = C2/c, No. 15; N(E_F) = 9.52 states/eV/cell
1.0
-3.6320 -3.6091 1.9118
4.0723 0.2879 3.6340
-3.1917 5.7762 1.2081
O B Al Ac
10 2 2 2
direct
0.4273 0.2360 0.1025
0.2360 0.4273 0.6025
0.2947 0.8869 0.6144
0.7053 0.1131 0.3856
0.8869 0.2947 0.1144
0.1131 0.7053 0.8856
0.5727 0.7640 0.8975
0.0626 0.9374 0.2500
0.7640 0.5727 0.3975
0.9374 0.0626 0.7500
0.7008 0.2992 0.2500
0.2992 0.7008 0.7500
0.0000 0.0000 0.0000
0.0000 0.0000 0.5000
0.6588 0.3412 0.7500
0.3412 0.6588 0.2500